Record 1
An optimized crystal structure of TaTc2Au. Source: Alexandria, functional PBE.

Unit cell a=4.813 b=4.813 c=4.874 alpha=78.06 beta=78.06 gamma=36.13
Atoms (fractional coordinates):
Au 0.750 0.750 0.750
Tc 0.995 0.995 0.005
Tc 0.505 0.505 0.495
Ta 0.250 0.250 0.250

- Space-group type: C2/m, No. 12
- Energy of formation from the pure elements: 2.8 kcal/mol of atoms
- Size of the total moment: 0.000 μB per formula unit
- Relative energy among the computed polymorphs: 0.172 eV per atom

Record 2
An optimized crystal structure of TaTc2Au. Source: Alexandria, functional PBE.

Unit cell a=3.270 b=3.270 c=6.101 alpha=90.00 beta=90.00 gamma=90.00
Atoms (fractional coordinates):
Au 0.500 0.500 0.250
Ta 0.500 0.500 0.750
Tc 0.000 0.000 0.984
Tc 0.000 0.000 0.516

- Space-group type: P4/mmm, No. 123
- Energy of formation from the pure elements: 1.7 kcal/mol of atoms
- Size of the total moment: 0.000 μB per formula unit
- Relative energy among the computed polymorphs: 0.123 eV per atom

Record 3
An optimized crystal structure of TaTc2Au. Source: Alexandria, functional PBE.

Unit cell a=4.902 b=4.902 c=4.752 alpha=78.04 beta=78.04 gamma=35.53
Atoms (fractional coordinates):
Tc 0.744 0.744 0.772
Tc 0.004 0.004 0.983
Ta 0.254 0.254 0.247
Au 0.498 0.498 0.498

- Space-group type: Cm, No. 8
- Energy of formation from the pure elements: 1.9 kcal/mol of atoms
- Size of the total moment: 0.000 μB per formula unit
- Relative energy among the computed polymorphs: 0.130 eV per atom

Record 4
An optimized crystal structure of TaTc3Au. Source: Alexandria, functional PBE.

Unit cell a=4.756 b=4.756 c=4.756 alpha=90.00 beta=90.00 gamma=90.00
Atoms (fractional coordinates):
Au 0.000 0.000 0.000
Tc 0.000 0.500 0.000
Tc 0.000 0.000 0.500
Tc 0.500 0.000 0.000
Ta 0.500 0.500 0.500

- Space-group type: Pm-3m, No. 221
- Energy of formation from the pure elements: 55.0 kcal/mol of atoms
- Size of the total moment: 3.973 μB per formula unit
- Relative energy among the computed polymorphs: 0.628 eV per atom

Record 5
An optimized crystal structure of TaTc2Au. Source: Alexandria, functional PBE.

Unit cell a=9.601 b=9.601 c=9.601 alpha=16.91 beta=16.91 gamma=16.91
Atoms (fractional coordinates):
Tc 0.995 0.995 0.995
Tc 0.255 0.255 0.255
Ta 0.748 0.748 0.748
Au 0.502 0.502 0.502

- Space-group type: R3m, No. 160
- Energy of formation from the pure elements: 3.1 kcal/mol of atoms
- Size of the total moment: 0.001 μB per formula unit
- Relative energy among the computed polymorphs: 0.182 eV per atom

Record 6
An optimized crystal structure of TaTc2Au. Source: Alexandria, functional PBE.

Unit cell a=4.521 b=4.521 c=4.521 alpha=60.00 beta=60.00 gamma=60.00
Atoms (fractional coordinates):
Tc 0.250 0.250 0.250
Tc 0.000 0.000 0.000
Ta 0.750 0.750 0.750
Au 0.500 0.500 0.500

- Space-group type: F-43m, No. 216
- Energy of formation from the pure elements: 6.2 kcal/mol of atoms
- Size of the total moment: 0.000 μB per formula unit
- Relative energy among the computed polymorphs: 0.317 eV per atom

Record 7
An optimized crystal structure of TaTc2Au. Source: Alexandria, functional PBE.

Unit cell a=2.746 b=2.746 c=8.659 alpha=90.00 beta=90.00 gamma=90.00
Atoms (fractional coordinates):
Au 0.500 0.500 0.250
Tc 0.000 0.000 0.998
Tc 0.000 0.000 0.502
Ta 0.500 0.500 0.750

- Space-group type: P4/mmm, No. 123
- Energy of formation from the pure elements: 5.5 kcal/mol of atoms
- Size of the total moment: 0.000 μB per formula unit
- Relative energy among the computed polymorphs: 0.288 eV per atom

Record 8
An optimized crystal structure of TaTc2Au. Source: Alexandria, functional PBE.

Unit cell a=4.894 b=4.894 c=4.894 alpha=131.83 beta=131.83 gamma=70.51
Atoms (fractional coordinates):
Tc 0.000 0.000 0.000
Tc 0.250 0.750 0.500
Au 0.500 0.500 0.000
Ta 0.750 0.250 0.500

- Space-group type: I-4m2, No. 119
- Energy of formation from the pure elements: -0.3 kcal/mol of atoms
- Size of the total moment: 0.000 μB per formula unit
- Relative energy among the computed polymorphs: 0.035 eV per atom

Record 9
An optimized crystal structure of TaTc2Au. Source: Alexandria, functional PBE.

Unit cell a=9.499 b=9.499 c=9.499 alpha=17.25 beta=17.25 gamma=17.25
Atoms (fractional coordinates):
Tc 0.001 0.001 0.001
Tc 0.499 0.499 0.499
Au 0.250 0.250 0.250
Ta 0.750 0.750 0.750

- Space-group type: R-3m, No. 166
- Energy of formation from the pure elements: 6.6 kcal/mol of atoms
- Size of the total moment: 0.000 μB per formula unit
- Relative energy among the computed polymorphs: 0.336 eV per atom

Record 10
An optimized crystal structure of TaTc2Au. Source: Alexandria, functional PBE.

Unit cell a=4.509 b=4.509 c=4.509 alpha=60.00 beta=60.00 gamma=60.00
Atoms (fractional coordinates):
Ta 0.000 0.000 0.000
Tc 0.750 0.750 0.750
Tc 0.250 0.250 0.250
Au 0.500 0.500 0.500

- Space-group type: Fm-3m, No. 225
- Energy of formation from the pure elements: 4.3 kcal/mol of atoms
- Size of the total moment: 0.000 μB per formula unit
- Relative energy among the computed polymorphs: 0.237 eV per atom

Record 11
An optimized crystal structure of Ta2TcAu2. Source: Alexandria, functional PBE.

Unit cell a=6.755 b=6.755 c=4.074 alpha=90.00 beta=90.00 gamma=90.00
Atoms (fractional coordinates):
Au 0.848 0.348 0.500
Au 0.152 0.652 0.500
Au 0.652 0.848 0.500
Au 0.348 0.152 0.500
Tc 0.000 0.000 0.000
Tc 0.500 0.500 0.000
Ta 0.852 0.648 0.000
Ta 0.148 0.352 0.000
Ta 0.648 0.148 0.000
Ta 0.352 0.852 0.000

- Space-group type: P4/mbm, No. 127
- Energy of formation from the pure elements: 9.1 kcal/mol of atoms
- Size of the total moment: 0.366 μB per formula unit
- Relative energy among the computed polymorphs: 0.000 eV per atom

Record 12
An optimized crystal structure of TaTc2Au. Source: Alexandria, functional PBE.

Unit cell a=4.018 b=4.019 c=3.935 alpha=90.00 beta=90.00 gamma=90.00
Atoms (fractional coordinates):
Au 0.500 0.000 0.500
Tc 0.500 0.500 0.000
Tc 0.000 0.000 0.000
Ta 0.000 0.500 0.500

- Space-group type: P4/mmm, No. 123
- Energy of formation from the pure elements: -1.1 kcal/mol of atoms
- Size of the total moment: 0.000 μB per formula unit
- Relative energy among the computed polymorphs: 0.000 eV per atom